(1)
A relaxed structure of CdPb, computed with GGA-PBEsol.

Results
Crystal system: trigonal
SG: No. 164
Energy of formation from the pure elements (kJ/mol of formula units): 11

abc: 3.3459 3.3459 10.5657
angles: 90.00 90.00 120.00
Positions (direct):
Cd 0.3333 0.6667 0.1085
Cd 0.6667 0.3333 0.8915
Pb 0.3333 0.6667 0.6447
Pb 0.6667 0.3333 0.3553

(2)
A relaxed structure of CdPb3, computed with GGA-PBEsol.

Results
Crystal system: orthorhombic
SG: No. 44
Energy of formation from the pure elements (kJ/mol of formula units): 24

abc: 6.4877 6.4877 6.4877
angles: 148.29 61.60 128.67
Positions (direct):
Cd 0.0000 0.0000 0.0000
Pb 0.2137 0.4790 0.7347
Pb 0.4964 0.9964 0.5000
Pb 0.7444 0.4790 0.2653

(3)
A relaxed structure of Cd3Pb, computed with GGA-PBEsol.

Results
Crystal system: hexagonal
SG: No. 194
Energy of formation from the pure elements (kJ/mol of formula units): 32

abc: 6.3329 6.3329 5.4383
angles: 90.00 90.00 120.00
Positions (direct):
Cd 0.1624 0.3249 0.2500
Cd 0.1624 0.8376 0.2500
Cd 0.3249 0.1624 0.7500
Cd 0.6751 0.8376 0.2500
Cd 0.8376 0.1624 0.7500
Cd 0.8376 0.6751 0.7500
Pb 0.3333 0.6667 0.7500
Pb 0.6667 0.3333 0.2500

(4)
A relaxed structure of CdPb, computed with GGA-PBEsol.

Results
Crystal system: cubic
SG: No. 227
Energy of formation from the pure elements (kJ/mol of formula units): 18

abc: 5.2888 5.2888 5.2888
angles: 60.00 60.00 60.00
Positions (direct):
Cd 0.1250 0.1250 0.1250
Cd 0.8750 0.8750 0.8750
Pb 0.3750 0.3750 0.3750
Pb 0.6250 0.6250 0.6250

Repeat the first record exactly.
A relaxed structure of CdPb, computed with GGA-PBEsol.

Results
Crystal system: trigonal
SG: No. 164
Energy of formation from the pure elements (kJ/mol of formula units): 11

abc: 3.3459 3.3459 10.5657
angles: 90.00 90.00 120.00
Positions (direct):
Cd 0.3333 0.6667 0.1085
Cd 0.6667 0.3333 0.8915
Pb 0.3333 0.6667 0.6447
Pb 0.6667 0.3333 0.3553